No. 1
A plane-wave DFT calculation with PBE was carried out for an optimized crystal structure of RbTaRe.

ΔE to the lowest computed polymorph, eV per atom: 1.557

a = 6.511 Å, b = 6.511 Å, c = 6.511 Å
α = 90.00°, β = 90.00°, γ = 90.00°
Space group F-43m (No. 216)
One atom of each set of equivalent atoms:
Rb  0.000  0.000  0.000 x4
Ta  0.250  0.250  0.250 x4
Re  0.250  0.250  0.750 x4

No. 2
A plane-wave DFT calculation with PBE was carried out for an optimized crystal structure of RbTaRe.

ΔE to the lowest computed polymorph, eV per atom: 0.000

a = 6.581 Å, b = 6.581 Å, c = 6.581 Å
α = 90.00°, β = 90.00°, γ = 90.00°
Space group F-43m (No. 216)
One atom of each set of equivalent atoms:
Rb  0.000  0.000  0.000 x4
Ta  0.000  0.000  0.500 x4
Re  0.250  0.250  0.250 x4

No. 3
A plane-wave DFT calculation with PBE was carried out for an optimized crystal structure of RbReTc.

ΔE to the lowest computed polymorph, eV per atom: 0.000

a = 6.384 Å, b = 6.384 Å, c = 6.384 Å
α = 90.00°, β = 90.00°, γ = 90.00°
Space group F-43m (No. 216)
One atom of each set of equivalent atoms:
Rb  0.000  0.000  0.000 x4
Re  0.000  0.000  0.500 x4
Tc  0.250  0.250  0.750 x4

No. 4
A plane-wave DFT calculation with PBE was carried out for an optimized crystal structure of RbReTc.

ΔE to the lowest computed polymorph, eV per atom: 1.511

a = 6.796 Å, b = 6.796 Å, c = 6.796 Å
α = 90.00°, β = 90.00°, γ = 90.00°
Space group F-43m (No. 216)
One atom of each set of equivalent atoms:
Rb  0.000  0.000  0.000 x4
Re  0.250  0.250  0.750 x4
Tc  0.250  0.250  0.250 x4

No. 5
A plane-wave DFT calculation with PBE was carried out for an optimized crystal structure of Rb2ReTe3.

a = 12.706 Å, b = 9.987 Å, c = 7.341 Å
α = 90.00°, β = 90.00°, γ = 90.00°
Space group Cmcm (No. 63)
One atom of each set of equivalent atoms:
Rb  0.159  0.177  0.250 x8
Re  0.000  0.398  0.750 x4
Te  0.000  0.143  0.750 x4
Te  0.129  0.500  0.000 x8

No. 6
A plane-wave DFT calculation with PBE was carried out for an optimized crystal structure of RbRe3Te5.

a = 6.0472 Å, b = 6.0472 Å, c = 8.2679 Å
α = 90.00°, β = 90.00°, γ = 120.00°
Space group P6/mmm (No. 191)
One atom of each set of equivalent atoms:
Rb  0.0000  0.0000  0.0000 x1
Re  0.0000  0.5000  0.5000 x3
Te  0.0000  0.0000  0.5000 x1
Te  0.3333  0.6667  0.2523 x4

No. 7
A plane-wave DFT calculation with PBE was carried out for an optimized crystal structure of RbTlRe.

ΔE to the lowest computed polymorph, eV per atom: 0.457

a = 7.712 Å, b = 7.712 Å, c = 7.712 Å
α = 90.00°, β = 90.00°, γ = 90.00°
Space group F-43m (No. 216)
One atom of each set of equivalent atoms:
Rb  0.000  0.000  0.000 x4
Tl  0.250  0.250  0.250 x4
Re  0.250  0.250  0.750 x4

No. 8
A plane-wave DFT calculation with PBE was carried out for an optimized crystal structure of RbTlRe.

ΔE to the lowest computed polymorph, eV per atom: 0.000

a = 7.318 Å, b = 7.318 Å, c = 7.318 Å
α = 90.00°, β = 90.00°, γ = 90.00°
Space group F-43m (No. 216)
One atom of each set of equivalent atoms:
Rb  0.000  0.000  0.000 x4
Tl  0.000  0.000  0.500 x4
Re  0.250  0.250  0.250 x4

No. 9
A plane-wave DFT calculation with PBE was carried out for an optimized crystal structure of RbTmRe.

a = 7.137 Å, b = 7.137 Å, c = 7.137 Å
α = 90.00°, β = 90.00°, γ = 90.00°
Space group F-43m (No. 216)
One atom of each set of equivalent atoms:
Rb  0.000  0.000  0.000 x4
Tm  0.250  0.250  0.250 x4
Re  0.000  0.000  0.500 x4

No. 10
A plane-wave DFT calculation with PBE was carried out for an optimized crystal structure of RbZnRe.

a = 6.813 Å, b = 6.813 Å, c = 6.813 Å
α = 90.00°, β = 90.00°, γ = 90.00°
Space group F-43m (No. 216)
One atom of each set of equivalent atoms:
Rb  0.000  0.000  0.000 x4
Zn  0.000  0.000  0.500 x4
Re  0.250  0.250  0.250 x4

No. 11
A plane-wave DFT calculation with PBE was carried out for an optimized crystal structure of Rb2ZnSb4S8.

a = 7.248 Å, b = 10.803 Å, c = 11.466 Å
α = 99.52°, β = 91.28°, γ = 90.89°
Space group P-1 (No. 2)
One atom of each set of equivalent atoms:
Rb  0.223  0.401  0.378 x2
Rb  0.231  0.963  0.620 x2
Zn  0.293  0.316  0.713 x2
Sb  0.099  0.330  0.989 x2
Sb  0.213  0.755  0.275 x2
Sb  0.312  0.047  0.116 x2
Sb  0.383  0.656  0.933 x2
S  0.033  0.247  0.584 x2
S  0.035  0.179  0.130 x2
S  0.182  0.517  0.791 x2
S  0.255  0.991  0.314 x2
S  0.318  0.195  0.871 x2
S  0.335  0.472  0.112 x2
S  0.455  0.706  0.411 x2
S  0.469  0.792  0.780 x2

No. 12
A plane-wave DFT calculation with PBE was carried out for an optimized crystal structure of RbSmScS3.

a = 4.259 Å, b = 15.043 Å, c = 10.955 Å
α = 90.00°, β = 90.00°, γ = 90.00°
Space group Cmcm (No. 63)
One atom of each set of equivalent atoms:
Rb  0.000  0.238  0.250 x4
Sm  0.000  0.500  0.000 x4
Sc  0.000  0.032  0.750 x4
S  0.000  0.119  0.563 x8
S  0.000  0.446  0.750 x4

No. 13
A plane-wave DFT calculation with PBE was carried out for an optimized crystal structure of Rb2TbScS4.

a = 3.9764 Å, b = 3.9764 Å, c = 15.2704 Å
α = 90.00°, β = 90.00°, γ = 120.00°
Space group P-3m1 (No. 164)
One atom of each set of equivalent atoms:
Rb  0.3333  0.6667  0.2448 x2
Tb  0.0000  0.0000  0.5000 x1
Sc  0.0000  0.0000  0.0000 x1
S  0.3333  0.6667  0.6001 x2
S  0.3333  0.6667  0.9113 x2

No. 14
A plane-wave DFT calculation with PBE was carried out for an optimized crystal structure of RbTbSeS.

a = 4.1761 Å, b = 4.1761 Å, c = 23.5250 Å
α = 90.00°, β = 90.00°, γ = 120.00°
Space group R3m (No. 160, hexagonal axes)
One atom of each set of equivalent atoms:
Rb  0.0000  0.0000  0.0000 x3
Tb  0.0000  0.0000  0.5045 x3
Se  0.0000  0.0000  0.7687 x3
S  0.0000  0.0000  0.2321 x3

No. 15
A plane-wave DFT calculation with PBE was carried out for an optimized crystal structure of RbTmSeS.

a = 4.1056 Å, b = 4.1056 Å, c = 23.4833 Å
α = 90.00°, β = 90.00°, γ = 120.00°
Space group R3m (No. 160, hexagonal axes)
One atom of each set of equivalent atoms:
Rb  0.0000  0.0000  0.0000 x3
Tm  0.0000  0.0000  0.5045 x3
Se  0.0000  0.0000  0.7698 x3
S  0.0000  0.0000  0.2311 x3

No. 16
A plane-wave DFT calculation with PBE was carried out for an optimized crystal structure of Rb2WSeS2.

ΔE to the lowest computed polymorph, eV per atom: 0.002

a = 13.890 Å, b = 7.052 Å, c = 9.994 Å
α = 90.00°, β = 125.30°, γ = 90.00°
Space group C2/m (No. 12)
One atom of each set of equivalent atoms:
Rb  0.080  0.000  0.364 x4
Rb  0.197  0.500  0.818 x4
W  0.108  0.500  0.162 x4
Se  0.114  0.500  0.407 x4
S  0.000  0.247  0.000 x4
S  0.208  0.000  0.777 x4

No. 17
A plane-wave DFT calculation with PBE was carried out for an optimized crystal structure of Rb2WSeS2.

ΔE to the lowest computed polymorph, eV per atom: 0.000

a = 7.049 Å, b = 7.650 Å, c = 8.767 Å
α = 74.32°, β = 69.40°, γ = 66.73°
Space group P-1 (No. 2)
One atom of each set of equivalent atoms:
Rb  0.094  0.184  0.140 x2
Rb  0.348  0.563  0.296 x2
W  0.382  0.049  0.663 x2
Se  0.170  0.370  0.724 x2
S  0.275  0.958  0.487 x2
S  0.380  0.836  0.898 x2

No. 18
A plane-wave DFT calculation with PBE was carried out for an optimized crystal structure of Rb2WSe2S.

a = 14.269 Å, b = 7.143 Å, c = 10.179 Å
α = 90.00°, β = 125.76°, γ = 90.00°
Space group C2/m (No. 12)
One atom of each set of equivalent atoms:
Rb  0.085  0.000  0.360 x4
Rb  0.192  0.500  0.810 x4
W  0.105  0.500  0.160 x4
Se  0.113  0.500  0.401 x4
Se  0.204  0.000  0.776 x4
S  0.000  0.249  0.000 x4

No. 19
A plane-wave DFT calculation with PBE was carried out for an optimized crystal structure of RbSmS3.

a = 6.861 Å, b = 7.260 Å, c = 7.693 Å
α = 116.52°, β = 112.50°, γ = 92.80°
Space group P-1 (No. 2)
One atom of each set of equivalent atoms:
Rb  0.163  0.369  0.217 x2
Sm  0.446  0.099  0.749 x2
S  0.207  0.943  0.315 x2
S  0.271  0.736  0.722 x2
S  0.361  0.532  0.851 x2

No. 20
A plane-wave DFT calculation with PBE was carried out for an optimized crystal structure of RbTbSmS3.

a = 4.478 Å, b = 15.308 Å, c = 11.011 Å
α = 90.00°, β = 90.00°, γ = 90.00°
Space group Cmcm (No. 63)
One atom of each set of equivalent atoms:
Rb  0.000  0.237  0.250 x4
Tb  0.000  0.030  0.750 x4
Sm  0.000  0.500  0.000 x4
S  0.000  0.117  0.549 x8
S  0.000  0.441  0.750 x4

In A^3/atom, the V values for the records above are, in order, 23.00 23.75 21.69 26.15 38.81 29.09 38.22 32.66 30.30 26.35 29.50 29.24 26.14 29.61 28.57 33.29 33.48 35.08 30.54 31.45.
In eV per atom, the uncorrected energy values for the records above are, in order, -4.808 -6.365 -5.738 -4.227 -4.318 -5.771 -3.002 -3.459 -3.941 -2.823 -4.093 -5.773 -5.445 -5.096 -5.045 -5.303 -5.305 -5.161 -4.879 -5.423.